Model A:
! ThB2Pt6, relaxed, DFT GGA-PBE; values from VASP
&SYSTEM
  ibrav = 0, nat = 9, ntyp = 3
/
ATOMIC_SPECIES
Th 232.04 Th.upf
B 10.81 B.upf
Pt 195.08 Pt.upf
ATOMIC_POSITIONS crystal
Th 0.000 0.000 0.000
B 0.333 0.667 0.500
B 0.667 0.333 0.500
Pt 0.500 0.000 0.248
Pt 0.500 0.500 0.248
Pt 0.000 0.500 0.248
Pt 0.500 0.500 0.752
Pt 0.000 0.500 0.752
Pt 0.500 0.000 0.752
CELL_PARAMETERS angstrom
-5.405 1.132 1.085
1.354 -4.314 -3.351
0.181 -3.404 4.457
! calculated volume	17.10	Å³/atom
! total moment	0.00	μB/atom
! crystal system	hexagonal
! space-group type	P6/mmm

Model B:
! ThB2Pt6, relaxed, DFT GGA-PBE; values from VASP
&SYSTEM
  ibrav = 0, nat = 18, ntyp = 3
/
ATOMIC_SPECIES
Th 232.04 Th.upf
B 10.81 B.upf
Pt 195.08 Pt.upf
ATOMIC_POSITIONS crystal
Th 0.500 0.500 0.500
Th 0.750 0.750 0.750
B 0.125 0.125 0.125
B 0.125 0.625 0.125
B 0.125 0.125 0.625
B 0.625 0.125 0.125
Pt 0.216 0.216 0.784
Pt 0.784 0.784 0.216
Pt 0.216 0.784 0.216
Pt 0.216 0.784 0.784
Pt 0.466 0.466 0.034
Pt 0.466 0.034 0.034
Pt 0.784 0.216 0.784
Pt 0.034 0.034 0.466
Pt 0.466 0.034 0.466
Pt 0.034 0.466 0.466
Pt 0.784 0.216 0.216
Pt 0.034 0.466 0.034
CELL_PARAMETERS angstrom
6.567 0.000 3.791
2.189 6.191 3.791
0.000 0.000 7.583
! calculated volume	17.13	Å³/atom
! total moment	0.00	μB/atom
! crystal system	cubic
! space-group type	Fd-3m

Stability, lowest: model B